First-principles (PBE) data for LuV5 after structural relaxation, as listed in Alexandria via LeMat-Bulk.

Properties
Magnetic moment in μB per cell: 2.83
Calculated formation energy in eV per atom: 0.28

Lattice parameters (Å, degrees): 4.5632 13.2153 3.1294 90.00 90.00 90.00
Space group Cmmm (No. 65)
Inequivalent atoms, fractional coordinates:
Lu: 0.0000 0.0000 0.0000 (multiplicity 2)
V: 0.0000 0.1904 0.5000 (multiplicity 4)
V: 0.0000 0.3307 0.0000 (multiplicity 4)
V: 0.0000 0.5000 0.5000 (multiplicity 2)